VASP calculation (PBE+U) on an optimized crystal structure of CsPaV2O7.

Cell: 3.811 3.811 11.013 Å, 90.00 90.00 90.00°
Each line ends with the local moment (μB).
Fractional coordinates of all 11 atoms:
Cs: 0.000 0.000 0.500  0.00
Pa: 0.000 0.000 0.000  0.18
V: 0.500 0.500 0.193  1.03
V: 0.500 0.500 0.807  1.03
O: 0.500 0.500 0.654  -0.09
O: 0.000 0.500 0.140  -0.01
O: 0.500 0.000 0.140  -0.01
O: 0.000 0.500 0.860  -0.01
O: 0.500 0.000 0.860  -0.01
O: 0.500 0.500 0.346  -0.09
O: 0.500 0.500 0.000  -0.03

Results
**E_tot**: -7.87 eV per atom
**Calculated volume**: 159.9 Å³/cell
**Total moment**: 2.06 Bohr magnetons per cell